# 1
This record from the Alexandria database describes a relaxed BaIn2Os crystal. The functional is PBE-GGA.

```
4
Lattice="-1.921 8.326 5.444 -1.366 6.068 7.998 1.301 7.666 6.495" Properties=species:S:1:pos:R:3 pbc="T T T"
Ba -1.490 16.545 14.953
In -1.950 21.653 19.569
In -1.030 11.438 10.337
Os -0.497 5.515 4.984
```

Crystal system = trigonal
Space-group type = R-3m, No. 166
Total energy = -0.153 Ha/atom

---

# 2
This record from the Alexandria database describes a relaxed CaAl2Cu9 crystal. The functional is PBE-GGA.

```
24
Lattice="-5.672 -2.383 2.425 -1.946 -7.203 -2.613 0.747 -4.146 6.690" Properties=species:S:1:pos:R:3 pbc="T T T"
Ca -2.836 -1.191 1.213
Ca -2.018 -6.270 2.645
Al -4.889 -6.995 6.486
Al -6.236 -8.524 1.835
Al -5.263 -4.922 3.141
Al -3.026 -9.405 3.967
Cu -4.854 -7.462 3.858
Cu 0.000 0.000 0.000
Cu -1.365 -9.403 2.125
Cu -3.318 -3.410 3.443
Cu -3.749 -5.266 5.119
Cu -3.770 -8.738 1.661
Cu -5.349 -10.159 3.527
Cu -0.874 -3.301 2.699
Cu -1.932 -8.128 -0.010
Cu -1.455 -4.140 5.023
Cu -4.688 -9.408 5.810
Cu -1.535 -4.051 0.415
Cu -0.357 -6.341 5.428
Cu -3.030 -5.927 -0.415
Cu -0.704 -8.652 4.408
Cu -3.980 -4.161 1.159
Cu -4.868 -6.536 1.255
Cu -2.651 -7.468 5.525
```

Crystal system = tetragonal
Space-group type = I4_1/amd, No. 141
Total energy = -0.148 Ha/atom

---

# 3
This record from the Alexandria database describes a relaxed ThFeGeH crystal. The functional is PBE-GGA.

```
8
Lattice="4.125 0.000 0.000 0.000 4.125 0.000 0.000 0.000 7.217" Properties=species:S:1:pos:R:3 pbc="T T T"
Th 2.063 0.000 4.941
Th 0.000 2.063 2.276
Fe 2.063 2.063 0.000
Fe 0.000 0.000 0.000
Ge 0.000 2.063 6.011
Ge 2.063 0.000 1.206
H 0.000 0.000 3.609
H 2.063 2.063 3.609
```

Crystal system = tetragonal
Space-group type = P4/nmm, No. 129
Total energy = -0.240 Ha/atom

---

# 4
This record from the Alexandria database describes a relaxed Nd5DyCd4 crystal. The functional is PBE-GGA.

```
10
Lattice="3.803 0.000 0.000 0.000 3.803 0.000 0.000 0.000 20.570" Properties=species:S:1:pos:R:3 pbc="T T T"
Nd 1.901 1.901 2.416
Nd 1.901 1.901 6.364
Nd 1.901 1.901 10.285
Nd 1.901 1.901 14.206
Nd 1.901 1.901 18.155
Dy 0.000 0.000 0.000
Cd 0.000 0.000 4.363
Cd 0.000 0.000 8.318
Cd 0.000 0.000 12.252
Cd 0.000 0.000 16.207
```

Crystal system = tetragonal
Space-group type = P4/mmm, No. 123
Total energy = -0.127 Ha/atom